Here is a relaxed structure of Y3Er2TmTe6 from Alexandria via LeMat-Bulk. Energies are from PBE.

## Properties
**Uncorrected formation energy**: -1.254 eV/atom
**Crystal system**: monoclinic

Unit cell a=18.945 b=4.319 c=8.725 alpha=90.00 beta=103.76 gamma=90.00
Space group C2/m (No. 12)
Inequivalent atoms, fractional coordinates:
Y: 0.000 0.000 0.000 x2
Y: 0.168 0.500 0.333 x4
Er: 0.167 0.500 0.834 x4
Tm: 0.000 0.000 0.500 x2
Te: 0.001 0.500 0.746 x4
Te: 0.165 0.000 0.585 x4
Te: 0.167 0.000 0.080 x4

---

Here is a relaxed structure of Y2ErTmTe6 from Alexandria via LeMat-Bulk. Energies are from PBE.

## Properties
**Uncorrected formation energy**: -1.361 eV/atom
**Crystal system**: trigonal

Unit cell a=7.6594 b=7.6594 c=20.9760 alpha=90.00 beta=90.00 gamma=120.00
Space group R3 (No. 146, hexagonal axes)
Inequivalent atoms, fractional coordinates:
Y: 0.0000 0.0000 0.0000 x3
Y: 0.0000 0.0000 0.5000 x3
Er: 0.0000 0.0000 0.3147 x3
Tm: 0.0000 0.0000 0.8148 x3
Te: 0.0055 0.3164 0.9060 x9
Te: 0.0060 0.6883 0.4063 x9

---

no.,total magnetic moment (μB per formula unit)
1,0.0
2,0.0